VASP calculation (GGA-PBE) on crystalline VAgS2 at its relaxed geometry.

a = 5.872 Å, b = 6.794 Å, c = 6.794 Å
α = 74.14°, β = 115.59°, γ = 64.41°
Fractional positions:
1 Ag 0.750 0.751 0.251
2 Ag 0.250 0.249 0.749
3 V 0.750 0.250 0.750
4 V 0.250 0.750 0.250
5 S 0.804 0.877 0.877
6 S 0.196 0.123 0.123
7 S 0.696 0.377 0.377
8 S 0.304 0.623 0.623

Values from the calculation:
Raw formation energy ... -0.487 eV/atom
Total energy ... -44.35 eV/cell
Theoretical density ... 4.1 g/cm3



VASP calculation (GGA-PBE) on crystalline LiP2Ir at its relaxed geometry.

a = 4.184 Å, b = 4.184 Å, c = 4.184 Å
α = 60.00°, β = 60.00°, γ = 60.00°
Fractional positions:
1 Ir 0.500 0.500 0.500
2 P 0.000 0.000 0.000
3 P 0.250 0.250 0.250
4 Li 0.750 0.750 0.750

Values from the calculation:
Relative energy among the computed polymorphs ... 0.684 eV per atom
Total energy ... -21.19 eV/cell
Theoretical density ... 8.4 g/cm3
Energy of formation ... 0.101 eV per atom



VASP calculation (GGA-PBE) on crystalline CaZn8Pd4 at its relaxed geometry.

a = 5.520 Å, b = 6.803 Å, c = 6.803 Å
α = 80.52°, β = 66.06°, γ = 66.06°
Fractional positions:
1 Pd 0.500 0.000 0.500
2 Pd 0.000 0.000 0.500
3 Pd 0.000 0.500 0.000
4 Pd 0.500 0.500 0.000
5 Ca 0.000 0.000 0.000
6 Zn 0.500 0.779 0.221
7 Zn 0.346 0.654 0.654
8 Zn 0.654 0.346 0.346
9 Zn 0.000 0.654 0.346
10 Zn 0.500 0.221 0.779
11 Zn 0.721 0.779 0.779
12 Zn 0.000 0.346 0.654
13 Zn 0.279 0.221 0.221

Values from the calculation:
Relative energy among the computed polymorphs ... 0.000 eV per atom
Total energy ... -38.69 eV/cell
Theoretical density ... 7.7 g/cm3
Energy of formation ... -0.441 eV per atom



VASP calculation (GGA-PBE) on crystalline KHo4NpS8 at its relaxed geometry.

a = 8.179 Å, b = 8.179 Å, c = 8.242 Å
α = 60.25°, β = 60.25°, γ = 60.00°
Fractional positions:
1 S 0.754 0.230 0.263
2 S 0.230 0.754 0.263
3 S 0.235 0.235 0.729
4 S 0.754 0.754 0.263
5 S 0.757 0.757 0.728
6 S 0.234 0.234 0.299
7 S 0.801 0.235 0.729
8 S 0.235 0.801 0.729
9 Ho 0.005 0.005 0.502
10 Ho 0.005 0.488 0.502
11 Ho 0.488 0.005 0.502
12 Ho 0.625 0.625 0.124
13 Np 0.003 0.003 0.991
14 K 0.375 0.375 0.876

Values from the calculation:
Raw formation energy ... -1.786 eV/atom
Total energy ... -90.38 eV/cell
Theoretical density ... 5.1 g/cm3



VASP calculation (GGA-PBE) on crystalline V12GaGe6 at its relaxed geometry.

a = 6.462 Å, b = 6.462 Å, c = 6.462 Å
α = 90.96°, β = 90.96°, γ = 90.96°
Fractional positions:
1 V 0.572 0.192 0.477
2 V 0.192 0.477 0.572
3 V 0.523 0.428 0.808
4 V 0.808 0.523 0.428
5 V 0.061 0.138 0.380
6 V 0.939 0.862 0.620
7 V 0.862 0.620 0.939
8 V 0.620 0.939 0.862
9 V 0.477 0.572 0.192
10 V 0.380 0.061 0.138
11 V 0.428 0.808 0.523
12 V 0.138 0.380 0.061
13 Ge 0.875 0.271 0.716
14 Ge 0.716 0.875 0.271
15 Ge 0.125 0.729 0.284
16 Ge 0.271 0.716 0.875
17 Ge 0.284 0.125 0.729
18 Ge 0.729 0.284 0.125
19 Ga 0.000 0.000 0.000

Values from the calculation:
Total energy ... -142.01 eV/cell
Theoretical density ... 6.9 g/cm3
Energy of formation ... -0.098 eV per atom



VASP calculation (GGA-PBE) on crystalline Li2PmNi2 at its relaxed geometry.

a = 3.951 Å, b = 5.035 Å, c = 5.257 Å
α = 105.14°, β = 112.07°, γ = 90.00°
Fractional positions:
1 Li 0.661 0.571 0.322
2 Li 0.339 0.429 0.678
3 Ni 0.720 0.097 0.441
4 Ni 0.280 0.903 0.559
5 Pm 0.000 0.000 0.000

Values from the calculation:
Total energy ... -20.50 eV/cell
Theoretical density ... 4.9 g/cm3
Energy of formation ... -0.073 eV per atom



VASP calculation (GGA-PBE) on crystalline AcTlTcO5 at its relaxed geometry.

a = 6.859 Å, b = 6.859 Å, c = 8.719 Å
α = 105.57°, β = 105.57°, γ = 106.82°
Fractional positions:
1 O 0.584 0.773 0.899
2 O 0.698 0.129 0.365
3 O 0.773 0.584 0.399
4 O 0.416 0.227 0.101
5 O 0.913 0.087 0.750
6 O 0.087 0.913 0.250
7 O 0.129 0.698 0.865
8 O 0.302 0.871 0.635
9 O 0.871 0.302 0.135
10 O 0.227 0.416 0.601
11 Tc 0.311 0.689 0.750
12 Tc 0.689 0.311 0.250
13 Ac 0.000 0.000 0.500
14 Ac 0.000 0.000 0.000
15 Tl 0.298 0.702 0.250
16 Tl 0.702 0.298 0.750

Values from the calculation:
Raw formation energy ... -1.875 eV/atom
Total energy ... -113.27 eV/cell
Theoretical density ... 5.8 g/cm3



VASP calculation (GGA-PBE) on crystalline ScAgTe2 at its relaxed geometry.

a = 6.514 Å, b = 6.514 Å, c = 7.976 Å
α = 65.90°, β = 65.90°, γ = 90.00°
Fractional positions:
1 Te 0.621 0.125 0.250
2 Te 0.129 0.625 0.250
3 Te 0.875 0.871 0.750
4 Te 0.375 0.379 0.750
5 Sc 0.250 0.750 0.500
6 Sc 0.500 0.500 0.000
7 Ag 0.750 0.250 0.500
8 Ag 0.000 0.000 0.000

Values from the calculation:
Raw formation energy ... -0.661 eV/atom
Total energy ... -36.22 eV/cell
Theoretical density ... 4.9 g/cm3



VASP calculation (GGA-PBE) on crystalline Ac6SiN3 at its relaxed geometry.

a = 4.199 Å, b = 8.509 Å, c = 8.509 Å
α = 108.94°, β = 90.00°, γ = 90.00°
Fractional positions:
1 N 0.500 0.500 0.000
2 N 0.000 0.000 0.000
3 N 0.500 0.000 0.500
4 Ac 0.500 0.670 0.330
5 Ac 0.000 0.311 0.052
6 Ac 0.000 0.689 0.948
7 Ac 0.000 0.948 0.689
8 Ac 0.000 0.052 0.311
9 Ac 0.500 0.330 0.670
10 Si 0.000 0.500 0.500

Values from the calculation:
Raw formation energy ... -0.536 eV/atom
Total energy ... -60.40 eV/cell
Theoretical density ... 8.3 g/cm3



VASP calculation (GGA-PBE) on crystalline I at its relaxed geometry.

a = 5.025 Å, b = 9.417 Å, c = 5.294 Å
α = 90.00°, β = 117.53°, γ = 90.00°
Fractional positions:
1 I 0.500 0.500 0.500
2 I 0.699 0.250 0.873
3 I 0.301 0.750 0.127
4 I 0.500 0.000 0.500

Values from the calculation:
Relative energy among the computed polymorphs ... 0.001 eV per atom
Raw formation energy ... 0.001 eV/atom
Total energy ... -6.20 eV/cell
Theoretical density ... 3.8 g/cm3



VASP calculation (GGA-PBE) on crystalline Ce3PbO4 at its relaxed geometry.

a = 3.948 Å, b = 3.948 Å, c = 9.750 Å
α = 90.00°, β = 90.00°, γ = 90.00°
Fractional positions:
1 Pb 0.000 0.000 0.500
2 O 0.500 0.000 0.145
3 O 0.000 0.500 0.855
4 O 0.000 0.500 0.145
5 O 0.500 0.000 0.855
6 Ce 0.500 0.500 0.261
7 Ce 0.500 0.500 0.739
8 Ce 0.000 0.000 0.000

Values from the calculation:
Raw formation energy ... -2.884 eV/atom
Total energy ... -64.41 eV/cell
Theoretical density ... 7.6 g/cm3



VASP calculation (GGA-PBE) on crystalline Y3Si4Tc2 at its relaxed geometry.

a = 4.184 Å, b = 5.769 Å, c = 8.159 Å
α = 107.97°, β = 90.00°, γ = 111.26°
Fractional positions:
1 Tc 0.681 0.362 0.351
2 Tc 0.319 0.638 0.649
3 Y 0.000 0.000 0.000
4 Y 0.622 0.243 0.697
5 Y 0.378 0.757 0.303
6 Si 0.284 0.569 0.925
7 Si 0.716 0.431 0.075
8 Si 0.900 0.800 0.584
9 Si 0.100 0.200 0.416

Values from the calculation:
Raw formation energy ... -0.720 eV/atom
Total energy ... -68.30 eV/cell
Theoretical density ... 5.5 g/cm3



Copy entry 2 word for word.
VASP calculation (GGA-PBE) on crystalline LiP2Ir at its relaxed geometry.

a = 4.184 Å, b = 4.184 Å, c = 4.184 Å
α = 60.00°, β = 60.00°, γ = 60.00°
Fractional positions:
1 Ir 0.500 0.500 0.500
2 P 0.000 0.000 0.000
3 P 0.250 0.250 0.250
4 Li 0.750 0.750 0.750

Values from the calculation:
Relative energy among the computed polymorphs ... 0.684 eV per atom
Total energy ... -21.19 eV/cell
Theoretical density ... 8.4 g/cm3
Energy of formation ... 0.101 eV per atom